A geometry-optimized SmEr2Al9 structure, computed with PBE.

abc: 4.265 4.265 12.791
angles: 90.00 90.00 90.00
Sites, in units of the cell vectors:
Sm 0.000 0.000 0.000
Er 0.000 0.000 0.335
Er 0.000 0.000 0.665
Al 0.500 0.500 0.000
Al 0.500 0.500 0.334
Al 0.500 0.500 0.666
Al 0.500 0.000 0.171
Al 0.500 0.000 0.500
Al 0.500 0.000 0.829
Al 0.000 0.500 0.171
Al 0.000 0.500 0.500
Al 0.000 0.500 0.829

Calculated total energy = -4.37 eV/atom
Size of the total moment = 0.00 μB/cell
Calculated formation energy = -0.410 eV per atom
Space group = No. 123
Relative energy among the computed polymorphs = 0.0 meV per atom